# 1
HfFeTc: optimized geometry, PBE-GGA.

The structure in POSCAR format:
```
HfFeTc
1.0
0.000 2.934 2.934
2.934 0.000 2.934
2.934 2.934 0.000
Tc Fe Hf
1 1 1
direct
0.750 0.750 0.750 Tc
0.000 0.000 0.000 Fe
0.250 0.250 0.250 Hf
```

Output
Energy above the lowest structure with this stoichiometry   0.00 eV per formula unit
Formation energy   0.226 eV/atom
DFT total energy   -27.9 eV/cell
Symmetry   No. 216


# 2
Hf5Fe4Tc: optimized geometry, PBE-GGA.

The structure in POSCAR format:
```
Hf5Fe4Tc
1.0
-0.793 0.051 3.055
-2.811 -1.250 -0.709
5.989 -14.493 1.798
Hf Fe Tc
5 4 1
direct
0.500 0.500 0.302 Hf
0.500 0.500 0.500 Hf
0.500 0.500 0.698 Hf
0.500 0.500 0.896 Hf
0.500 0.500 0.104 Hf
0.000 0.000 0.598 Fe
0.000 0.000 0.794 Fe
0.000 0.000 0.402 Fe
0.000 0.000 0.206 Fe
0.000 0.000 0.000 Tc
```

Output
Formation energy   -0.361 eV/atom
DFT total energy   -97.0 eV/cell
Symmetry   No. 123


# 3
HfTlFeTc: optimized geometry, PBE-GGA.

The structure in POSCAR format:
```
HfTlFeTc
1.0
2.335 -0.318 3.940
-2.255 -0.222 3.993
-0.055 -3.919 2.391
Hf Fe Tc Tl
1 1 1 1
direct
0.250 0.250 0.250 Hf
0.750 0.750 0.750 Fe
0.500 0.500 0.500 Tc
0.000 0.000 0.000 Tl
```

Output
Energy above the lowest structure with this stoichiometry   0.67 eV per formula unit
DFT total energy   -29.4 eV/cell
Symmetry   No. 216